# Nb2B2Pb

A geometry-optimized Nb2B2Pb structure (PBE-GGA, Alexandria via LeMat-Bulk).

Calculated total energy, eV/atom: -7.240
Energy of formation from the pure elements, eV per atom: 0.201

Cell lengths 6.4278, 6.4278, 3.4585 Å; angles 90.00, 90.00, 90.00 degrees
Atoms (fractional coordinates):
Pb 0.0000 0.0000 0.0000
Pb 0.5000 0.5000 0.0000
Nb 0.1643 0.6643 0.5000
Nb 0.6643 0.8357 0.5000
Nb 0.8357 0.3357 0.5000
Nb 0.3357 0.1643 0.5000
B 0.4066 0.9066 0.0000
B 0.9066 0.5934 0.0000
B 0.5934 0.0934 0.0000
B 0.0934 0.4066 0.0000